[1]
ScV2Tc2 | PBE | optimized geometry

Output
energy above the lowest structure with this stoichiometry	0.112	eV per atom
DOS at the Fermi energy	5.68	states/eV/cell
energy relative to the elements	0.13	eV per atom

Cell: 4.201 4.201 5.678 Å, 68.29 68.29 90.00°
Each line ends with the local moment (μB).
Element x y z (fractional)
Sc (0.000, 0.000, 0.000)  0.01
Tc (0.750, 0.250, 0.500)  -0.11
Tc (0.250, 0.750, 0.500)  -0.11
V (0.377, 0.377, 0.247)  0.56
V (0.623, 0.623, 0.753)  0.56

[2]
In2OsPt | PBE | optimized geometry

Output
DOS at the Fermi energy	3.58	states/eV/cell
energy relative to the elements	0.21	eV per atom

Cell: 8.979 8.979 8.979 Å, 19.66 19.66 19.66°
Element x y z (fractional)
In (0.999, 0.999, 0.999)
In (0.501, 0.501, 0.501)
Os (0.250, 0.250, 0.250)
Pt (0.750, 0.750, 0.750)

[3]
CsZr3Nb | PBE | optimized geometry

Output
energy above the lowest structure with this stoichiometry	0.000	eV per atom
DOS at the Fermi energy	11.25	states/eV/cell
energy relative to the elements	1.09	eV per atom

Cell: 5.361 5.361 5.361 Å, 90.00 90.00 90.00°
Element x y z (fractional)
Cs (0.500, 0.500, 0.500)
Nb (0.000, 0.000, 0.000)
Zr (0.000, 0.500, 0.000)
Zr (0.000, 0.000, 0.500)
Zr (0.500, 0.000, 0.000)

[4]
KTl2B2 | PBE | optimized geometry

Output
energy above the lowest structure with this stoichiometry	0.180	eV per atom
DOS at the Fermi energy	5.53	states/eV/cell
energy relative to the elements	0.89	eV per atom

Cell: 7.505 7.505 4.192 Å, 90.00 90.00 90.00°
Element x y z (fractional)
Tl (0.163, 0.663, 0.500)
Tl (0.663, 0.837, 0.500)
Tl (0.837, 0.337, 0.500)
Tl (0.337, 0.163, 0.500)
B (0.425, 0.925, 0.000)
B (0.925, 0.575, 0.000)
B (0.575, 0.075, 0.000)
B (0.075, 0.425, 0.000)
K (0.000, 0.000, 0.000)
K (0.500, 0.500, 0.000)

[5]
Ba2DyNpSe6 | PBE | optimized geometry

Output
raw formation energy	-1.633	eV/atom
DOS at the Fermi energy	15.84	states/eV/cell

Cell: 7.441 7.847 10.791 Å, 90.00 89.97 90.00°
Each line ends with the local moment (μB).
Element x y z (fractional)
Ba (0.022, 0.927, 0.251)  0.00
Ba (0.522, 0.573, 0.751)  0.00
Ba (0.978, 0.073, 0.749)  0.00
Ba (0.478, 0.427, 0.249)  0.00
Dy (0.500, 0.000, 0.000)  -0.04
Dy (0.000, 0.500, 0.500)  -0.04
Np (0.500, 0.000, 0.500)  2.77
Np (0.000, 0.500, 0.000)  2.77
Se (0.299, 0.696, 0.045)  -0.09
Se (0.799, 0.804, 0.545)  -0.09
Se (0.701, 0.304, 0.955)  -0.09
Se (0.201, 0.196, 0.455)  -0.09
Se (0.308, 0.705, 0.454)  -0.08
Se (0.808, 0.795, 0.954)  -0.08
Se (0.692, 0.295, 0.546)  -0.08
Se (0.192, 0.205, 0.046)  -0.08
Se (0.913, 0.517, 0.246)  -0.09
Se (0.413, 0.983, 0.746)  -0.09
Se (0.087, 0.483, 0.754)  -0.09
Se (0.587, 0.017, 0.254)  -0.09

[6]
Al2TeBr | PBE | optimized geometry

Output
energy above the lowest structure with this stoichiometry	0.353	eV per atom
raw formation energy	0.023	eV/atom
DOS at the Fermi energy	2.30	states/eV/cell

Cell: 5.131 5.131 5.131 Å, 60.00 60.00 60.00°
Element x y z (fractional)
Te (0.500, 0.500, 0.500)
Al (0.250, 0.250, 0.250)
Al (0.750, 0.750, 0.750)
Br (0.000, 0.000, 0.000)

Please write out number 5 again, unchanged.
Ba2DyNpSe6 | PBE | optimized geometry

Output
raw formation energy	-1.633	eV/atom
DOS at the Fermi energy	15.84	states/eV/cell

Cell: 7.441 7.847 10.791 Å, 90.00 89.97 90.00°
Each line ends with the local moment (μB).
Element x y z (fractional)
Ba (0.022, 0.927, 0.251)  0.00
Ba (0.522, 0.573, 0.751)  0.00
Ba (0.978, 0.073, 0.749)  0.00
Ba (0.478, 0.427, 0.249)  0.00
Dy (0.500, 0.000, 0.000)  -0.04
Dy (0.000, 0.500, 0.500)  -0.04
Np (0.500, 0.000, 0.500)  2.77
Np (0.000, 0.500, 0.000)  2.77
Se (0.299, 0.696, 0.045)  -0.09
Se (0.799, 0.804, 0.545)  -0.09
Se (0.701, 0.304, 0.955)  -0.09
Se (0.201, 0.196, 0.455)  -0.09
Se (0.308, 0.705, 0.454)  -0.08
Se (0.808, 0.795, 0.954)  -0.08
Se (0.692, 0.295, 0.546)  -0.08
Se (0.192, 0.205, 0.046)  -0.08
Se (0.913, 0.517, 0.246)  -0.09
Se (0.413, 0.983, 0.746)  -0.09
Se (0.087, 0.483, 0.754)  -0.09
Se (0.587, 0.017, 0.254)  -0.09

Among the records above, which one has the highest DOS at the Fermi energy? Ba2DyNpSe6

Look up the DOS at the Fermi energy of the second one. 3.58 states/eV/cell

What is the DOS at the Fermi energy in the fourth record? 5.53 states/eV/cell